1.
A relaxed Zr2CdCl crystal, computed with GGA-PBE.

Symmetry ... C2/m, No. 12
Mass density ... 6.54 g/cm³
Formation energy without anion corrections ... -0.114 eV/atom
Energy relative to the lowest polymorph listed for this composition ... 405 meV per atom

Lattice parameters (Å, degrees): 5.209 5.209 3.173 97.60 97.60 96.43
Positions (direct):
Zr 0.000 0.500 0.000
Zr 0.500 0.000 0.000
Cd 0.000 0.000 0.500
Cl 0.500 0.500 0.500

---

2.
A relaxed Y2MgZn3Ni12 crystal, computed with GGA-PBE.

Symmetry ... R-3m, No. 166
Mass density ... 7.29 g/cm³
Total energy ... -0.1816 hartree per atom

Lattice parameters (Å, degrees): 6.343 6.343 6.343 83.92 83.92 83.92
Positions (direct):
Y 0.185 0.185 0.185
Y 0.815 0.815 0.815
Mg 0.500 0.500 0.500
Zn 0.000 0.500 0.500
Zn 0.500 0.000 0.500
Zn 0.500 0.500 0.000
Ni 0.095 0.095 0.628
Ni 0.095 0.628 0.095
Ni 0.215 0.697 0.697
Ni 0.303 0.303 0.785
Ni 0.303 0.785 0.303
Ni 0.372 0.905 0.905
Ni 0.628 0.095 0.095
Ni 0.697 0.215 0.697
Ni 0.697 0.697 0.215
Ni 0.785 0.303 0.303
Ni 0.905 0.372 0.905
Ni 0.905 0.905 0.372

---

3.
A relaxed CaIn3Pt2 crystal, computed with GGA-PBE.

Symmetry ... C2/m, No. 12
Mass density ... 9.35 g/cm³
Energy relative to the lowest polymorph listed for this composition ... 21 meV per atom

Lattice parameters (Å, degrees): 9.279 9.279 11.111 108.45 108.45 27.15
Positions (direct):
Ca 0.000 0.000 0.000
Ca 0.161 0.161 0.706
Ca 0.839 0.839 0.294
In 0.036 0.036 0.339
In 0.217 0.217 0.392
In 0.324 0.324 0.038
In 0.377 0.377 0.807
In 0.500 0.500 0.500
In 0.623 0.623 0.193
In 0.676 0.676 0.962
In 0.783 0.783 0.608
In 0.964 0.964 0.661
Pt 0.202 0.202 0.136
Pt 0.364 0.364 0.549
Pt 0.470 0.470 0.202
Pt 0.530 0.530 0.798
Pt 0.636 0.636 0.451
Pt 0.798 0.798 0.864

---

4.
A relaxed MnMo2P crystal, computed with GGA-PBE.

Symmetry ... P4mm, No. 99
Mass density ... 8.28 g/cm³
Total energy ... -0.3375 hartree per atom

Lattice parameters (Å, degrees): 3.171 3.171 5.539 90.00 90.00 90.00
Positions (direct):
Mn 0.000 0.000 0.000
Mo 0.000 0.000 0.537
Mo 0.500 0.500 0.210
P 0.500 0.500 0.749

---

What is the formula in the third record?
CaIn3Pt2

---

Which formula does entry 1 have?
Zr2CdCl

---

The highest mass density belongs to which entry?
CaIn3Pt2

---

What is the mass density in the fourth record?
8.28 g/cm³